# ScAsIr2I

An optimized crystal structure of ScAsIr2I (GGA-PBE, Alexandria via LeMat-Bulk).

Lattice parameters (Å, degrees): 4.797 4.797 5.356 90.00 90.00 90.00
Space group P4/mmm (No. 123)
Inequivalent atoms, fractional coordinates:
Sc 0.000 0.000 0.000 x1
As 0.500 0.500 0.500 x1
Ir 0.000 0.500 0.000 x2
I 0.000 0.000 0.500 x1

Mass density = 8.5 Mg/m³
Magnetic moment = 0.00 μB/atom
E_form (uncorrected) = 1281.6 meV per atom
Electronic total energy = -23.85 eV for the cell shown



# As2IrSeI

An optimized crystal structure of As2IrSeI (GGA-PBE, Alexandria via LeMat-Bulk).

Lattice parameters (Å, degrees): 4.791 4.791 5.336 90.00 90.00 90.00
Space group P4/mmm (No. 123)
Inequivalent atoms, fractional coordinates:
As 0.000 0.500 0.000 x2
Ir 0.000 0.000 0.000 x1
Se 0.000 0.000 0.500 x1
I 0.500 0.500 0.500 x1

Energy above the most stable polymorph in this dataset = 0.000 eV/atom
Mass density = 7.4 Mg/m³
Magnetic moment = 0.00 μB/atom
E_form (uncorrected) = 506.9 meV per atom
Electronic total energy = -20.66 eV for the cell shown



# Sm6AsIr2I3

An optimized crystal structure of Sm6AsIr2I3 (GGA-PBE, Alexandria via LeMat-Bulk).

Lattice parameters (Å, degrees): 7.347 12.723 8.280 90.00 107.07 90.00
Space group C2/m (No. 12)
Inequivalent atoms, fractional coordinates:
Sm 0.213 0.000 0.186 x4
Sm 0.237 0.325 0.186 x8
As 0.000 0.500 0.000 x2
Ir 0.000 0.167 0.000 x4
I 0.000 0.000 0.500 x2
I 0.000 0.337 0.500 x4

Mass density = 7.8 Mg/m³
Magnetic moment = 0.00 μB/atom
E_form (uncorrected) = -1057.2 meV per atom
Electronic total energy = -136.05 eV for the cell shown